(1)
Compound: Mn2AlRu
Source: the Alexandria database
Functional: GGA-PBE
Structure: optimized geometry

a = 2.9916 Å, b = 4.0734 Å, c = 4.1974 Å
α = 90.00°, β = 90.00°, γ = 90.00°
Fractional positions:
Al (0.0000, 0.5000, 0.5000)
Mn (0.0000, 0.0000, 0.0000)
Mn (0.5000, 0.5000, 0.0000)
Ru (0.5000, 0.0000, 0.5000)

Computed properties:
SG: No. 47
Formation energy in eV/atom: -0.150
Calculated volume in Å³/f.u.: 51

***

(2)
Compound: AlReSe2
Source: the Alexandria database
Functional: GGA-PBE
Structure: optimized geometry

a = 4.8825 Å, b = 4.8825 Å, c = 4.8825 Å
α = 130.16°, β = 130.16°, γ = 73.14°
Fractional positions:
Se (0.2500, 0.7500, 0.5000)
Se (0.0000, 0.0000, 0.0000)
Al (0.5000, 0.5000, 0.0000)
Re (0.7500, 0.2500, 0.5000)

Computed properties:
Uncorrected formation energy in eV/atom: 0.629
SG: No. 119
Calculated volume in Å³/f.u.: 66

***

(3)
Compound: Ta2AgAu
Source: the Alexandria database
Functional: GGA-PBE
Structure: optimized geometry

a = 3.5746 Å, b = 3.5746 Å, c = 5.6372 Å
α = 90.00°, β = 90.00°, γ = 90.00°
Fractional positions:
Ta (0.0000, 0.0000, 0.5038)
Ta (0.0000, 0.0000, 0.9962)
Ag (0.5000, 0.5000, 0.2500)
Au (0.5000, 0.5000, 0.7500)

Computed properties:
SG: No. 123
Formation energy in eV/atom: 0.350
Calculated volume in Å³/f.u.: 72

***

(4)
Compound: Li2AgIr
Source: the Alexandria database
Functional: GGA-PBE
Structure: optimized geometry

a = 9.1414 Å, b = 9.1414 Å, c = 9.1414 Å
α = 17.35°, β = 17.35°, γ = 17.35°
Fractional positions:
Li (0.0055, 0.0055, 0.0055)
Li (0.4945, 0.4945, 0.4945)
Ag (0.2500, 0.2500, 0.2500)
Ir (0.7500, 0.7500, 0.7500)

Computed properties:
SG: No. 166
Formation energy in eV/atom: -0.120
Calculated volume in Å³/f.u.: 59

***

(5)
Compound: Rb2VHg
Source: the Alexandria database
Functional: GGA-PBE
Structure: optimized geometry

a = 3.9568 Å, b = 3.9606 Å, c = 10.7778 Å
α = 90.00°, β = 90.81°, γ = 90.00°
Fractional positions:
Hg (0.2567, 0.0000, 0.5653)
V (0.7540, 0.5000, 0.5072)
Rb (0.7740, 0.5000, 0.8256)
Rb (0.2454, 0.0000, 0.2394)

Computed properties:
SG: No. 6
Formation energy in eV/atom: 0.505
Calculated volume in Å³/f.u.: 169

***

no.,total energy (eV/atom)
1,-7.989
2,-5.161
3,-7.109
4,-4.005
5,-2.334